No. 1
# LuHf2Pb, relaxed, DFT PBE
data_LuHf2Pb
_space_group_name_H-M_alt 'P 4/m m m'
_space_group_IT_number 123
_space_group_name_Hall '-P 4 2'
_cell_length_a 4.513
_cell_length_b 4.513
_cell_length_c 4.641
_cell_angle_alpha 90.00
_cell_angle_beta 90.00
_cell_angle_gamma 90.00
loop_
_atom_site_label
_atom_site_fract_x
_atom_site_fract_y
_atom_site_fract_z
Lu1 0.000 0.000 0.000
Hf1 0.000 0.500 0.500
Pb1 0.500 0.500 0.000
# - calculated formation energy (eV/atom) = -0.02
# - E_tot (eV/atom) = -7.0514
# - offset from the most stable computed form (eV/atom) = 0.0000
# - N(E_F) (states/eV per cell) = 4.6

No. 2
# LuHf2Pb, relaxed, DFT PBE
data_LuHf2Pb
_space_group_name_H-M_alt 'R -3 m'
_space_group_IT_number 166
_space_group_name_Hall '-R 3 2"'
_cell_length_a 3.1994
_cell_length_b 3.1994
_cell_length_c 34.5423
_cell_angle_alpha 90.00
_cell_angle_beta 90.00
_cell_angle_gamma 120.00
loop_
_atom_site_label
_atom_site_fract_x
_atom_site_fract_y
_atom_site_fract_z
Lu1 0.0000 0.0000 0.0000
Hf1 0.0000 0.0000 0.0909
Pb1 0.0000 0.0000 0.5000
# - calculated formation energy (eV/atom) = 0.39
# - E_tot (eV/atom) = -6.6486
# - offset from the most stable computed form (eV/atom) = 0.4028
# - N(E_F) (states/eV per cell) = 14.9

No. 3
# LuHfPd2, relaxed, DFT PBE
data_LuHfPd2
_space_group_name_H-M_alt 'P 4/m m m'
_space_group_IT_number 123
_space_group_name_Hall '-P 4 2'
_cell_length_a 3.384
_cell_length_b 3.384
_cell_length_c 6.837
_cell_angle_alpha 90.00
_cell_angle_beta 90.00
_cell_angle_gamma 90.00
loop_
_atom_site_label
_atom_site_fract_x
_atom_site_fract_y
_atom_site_fract_z
Lu1 0.000 0.000 0.000
Hf1 0.000 0.000 0.500
Pd1 0.500 0.500 0.276
# - calculated formation energy (eV/atom) = -0.79
# - E_tot (eV/atom) = -7.0006
# - offset from the most stable computed form (eV/atom) = 0.0000
# - N(E_F) (states/eV per cell) = 3.4

No. 4
# LuHfPd, relaxed, DFT PBE
data_LuHfPd
_space_group_name_H-M_alt 'I 4 m m'
_space_group_IT_number 107
_space_group_name_Hall 'I 4 -2'
_cell_length_a 3.388
_cell_length_b 3.388
_cell_length_c 11.101
_cell_angle_alpha 90.00
_cell_angle_beta 90.00
_cell_angle_gamma 90.00
loop_
_atom_site_label
_atom_site_fract_x
_atom_site_fract_y
_atom_site_fract_z
Lu1 0.000 0.000 0.000
Hf1 0.000 0.000 0.304
Pd1 0.000 0.000 0.666
# - calculated formation energy (eV/atom) = -0.47
# - E_tot (eV/atom) = -7.0232
# - N(E_F) (states/eV per cell) = 7.8

Question: Which value of N(E_F) does entry 1 give?
Answer: 4.6 states/eV per cell

Please write out number 3 again, unchanged.
# LuHfPd2, relaxed, DFT PBE
data_LuHfPd2
_space_group_name_H-M_alt 'P 4/m m m'
_space_group_IT_number 123
_space_group_name_Hall '-P 4 2'
_cell_length_a 3.384
_cell_length_b 3.384
_cell_length_c 6.837
_cell_angle_alpha 90.00
_cell_angle_beta 90.00
_cell_angle_gamma 90.00
loop_
_atom_site_label
_atom_site_fract_x
_atom_site_fract_y
_atom_site_fract_z
Lu1 0.000 0.000 0.000
Hf1 0.000 0.000 0.500
Pd1 0.500 0.500 0.276
# - calculated formation energy (eV/atom) = -0.79
# - E_tot (eV/atom) = -7.0006
# - offset from the most stable computed form (eV/atom) = 0.0000
# - N(E_F) (states/eV per cell) = 3.4